# 1
Compound: Hf2Ti2Cu
Source: Alexandria
Functional: PBE
Structure: optimized geometry

The structure in POSCAR format:
```
Hf2Ti2Cu
1.0
6.6873 0.0000 0.0000
0.0000 6.6873 0.0000
0.0000 0.0000 4.2064
Hf Ti Cu
4 4 2
Direct
0.1583 0.3417 0.0000
0.3417 0.8417 0.0000
0.6583 0.1583 0.0000
0.8417 0.6583 0.0000
0.1414 0.6414 0.5000
0.3586 0.1414 0.5000
0.6414 0.8586 0.5000
0.8586 0.3586 0.5000
0.0000 0.0000 0.5000
0.5000 0.5000 0.5000
```

Calculated values
Space group ... No. 127

***

# 2
Compound: HfTiCu2
Source: Alexandria
Functional: PBE
Structure: optimized geometry

The structure in POSCAR format:
```
HfTiCu2
1.0
3.1413 0.0000 0.0000
0.0000 3.1413 0.0000
0.0000 0.0000 6.4032
Hf Ti Cu
1 1 2
Direct
0.0000 0.0000 0.0000
0.0000 0.0000 0.5000
0.5000 0.5000 0.2736
0.5000 0.5000 0.7264
```

Calculated values
Energy above the most stable polymorph in this dataset ... 13.9 meV/atom
Space group ... No. 123

***

# 3
Compound: HfTiCu2
Source: Alexandria
Functional: PBE
Structure: optimized geometry

The structure in POSCAR format:
```
HfTiCu2
1.0
4.4218 0.0000 0.0000
0.0000 6.1082 0.0000
0.0000 0.0000 4.6835
Hf Ti Cu
2 2 4
Direct
0.2500 0.2500 0.2089
0.7500 0.7500 0.7911
0.2500 0.7500 0.2286
0.7500 0.2500 0.7714
0.2500 0.0053 0.6884
0.2500 0.4947 0.6884
0.7500 0.5053 0.3116
0.7500 0.9947 0.3116
```

Calculated values
Energy above the most stable polymorph in this dataset ... 0.0 meV/atom
Space group ... No. 59

***

# 4
Compound: Hf2TiCu2
Source: Alexandria
Functional: PBE
Structure: optimized geometry

The structure in POSCAR format:
```
Hf2TiCu2
1.0
7.3450 0.0000 0.0000
0.0000 7.3450 0.0000
0.0000 0.0000 3.2324
Hf Ti Cu
4 2 4
Direct
0.1753 0.3247 0.0000
0.3247 0.8247 0.0000
0.6753 0.1753 0.0000
0.8247 0.6753 0.0000
0.0000 0.0000 0.5000
0.5000 0.5000 0.5000
0.1217 0.6217 0.5000
0.3783 0.1217 0.5000
0.6217 0.8783 0.5000
0.8783 0.3783 0.5000
```

Calculated values
Energy above the most stable polymorph in this dataset ... 0.0 meV/atom
Space group ... No. 127

***

# 5
Compound: Hf2TiCu
Source: Alexandria
Functional: PBE
Structure: optimized geometry

The structure in POSCAR format:
```
Hf2TiCu
1.0
4.2707 0.0000 0.0000
0.0000 4.2707 0.0000
0.0000 0.0000 4.0023
Hf Ti Cu
2 1 1
Direct
0.0000 0.5000 0.0000
0.5000 0.0000 0.0000
0.0000 0.0000 0.5000
0.5000 0.5000 0.5000
```

Calculated values
Space group ... No. 123

***

# 6
Compound: HfTiCu3
Source: Alexandria
Functional: PBE
Structure: optimized geometry

The structure in POSCAR format:
```
HfTiCu3
1.0
6.1752 0.0000 0.0000
-3.0876 5.3479 0.0000
0.0000 0.0000 4.8528
Hf Ti Cu
2 2 6
Direct
0.3333 0.6667 0.2500
0.6667 0.3333 0.7500
0.0000 0.0000 0.0000
0.0000 0.0000 0.5000
0.2048 0.4095 0.7500
0.2048 0.7952 0.7500
0.4095 0.2048 0.2500
0.5905 0.7952 0.7500
0.7952 0.2048 0.2500
0.7952 0.5905 0.2500
```

Calculated values
Energy above the most stable polymorph in this dataset ... 0.0 meV/atom
Space group ... No. 194

***

# 7
Compound: HfTi2Cu2
Source: Alexandria
Functional: PBE
Structure: optimized geometry

The structure in POSCAR format:
```
HfTi2Cu2
1.0
7.2934 0.0000 0.0000
0.0000 7.2934 0.0000
0.0000 0.0000 3.0424
Hf Ti Cu
2 4 4
Direct
0.0000 0.0000 0.0000
0.5000 0.5000 0.0000
0.1709 0.3291 0.5000
0.3291 0.8291 0.5000
0.6709 0.1709 0.5000
0.8291 0.6709 0.5000
0.1229 0.6229 0.0000
0.3771 0.1229 0.0000
0.6229 0.8771 0.0000
0.8771 0.3771 0.0000
```

Calculated values
Energy above the most stable polymorph in this dataset ... 0.0 meV/atom
Space group ... No. 127

***

# 8
Compound: HfTi2Cu2
Source: Alexandria
Functional: PBE
Structure: optimized geometry

The structure in POSCAR format:
```
HfTi2Cu2
1.0
3.8095 0.0000 0.0000
0.0000 3.8095 0.0000
0.0000 0.0000 11.7738
Hf Ti Cu
2 4 4
Direct
0.0000 0.0000 0.0000
0.5000 0.5000 0.5000
0.0000 0.0000 0.3912
0.0000 0.0000 0.6088
0.5000 0.5000 0.1088
0.5000 0.5000 0.8912
0.0000 0.5000 0.2500
0.0000 0.5000 0.7500
0.5000 0.0000 0.2500
0.5000 0.0000 0.7500
```

Calculated values
Energy above the most stable polymorph in this dataset ... 259.6 meV/atom
Space group ... No. 139

***

# 9
Compound: HfTiCu2
Source: Alexandria
Functional: PBE
Structure: optimized geometry

The structure in POSCAR format:
```
HfTiCu2
1.0
7.1357 0.0000 0.0000
0.0000 7.1357 0.0000
0.0000 0.0000 5.1829
Hf Ti Cu
4 4 8
Direct
0.0000 0.0000 0.0000
0.0000 0.5000 0.2500
0.5000 0.0000 0.7500
0.5000 0.5000 0.5000
0.0000 0.0000 0.5000
0.0000 0.5000 0.7500
0.5000 0.0000 0.2500
0.5000 0.5000 0.0000
0.2347 0.2500 0.6250
0.2500 0.7347 0.8750
0.2500 0.7653 0.3750
0.2653 0.2500 0.1250
0.7347 0.7500 0.1250
0.7500 0.2347 0.3750
0.7500 0.2653 0.8750
0.7653 0.7500 0.6250
```

Calculated values
Energy above the most stable polymorph in this dataset ... 389.9 meV/atom
Space group ... No. 122

***

# 10
Compound: HfTiCu2
Source: Alexandria
Functional: PBE
Structure: optimized geometry

The structure in POSCAR format:
```
HfTiCu2
1.0
4.0857 0.0000 0.0000
0.0000 4.0857 0.0000
0.0000 0.0000 3.7622
Hf Ti Cu
1 1 2
Direct
0.0000 0.0000 0.0000
0.5000 0.5000 0.0000
0.0000 0.5000 0.5000
0.5000 0.0000 0.5000
```

Calculated values
Energy above the most stable polymorph in this dataset ... 48.7 meV/atom
Space group ... No. 123

***

# 11
Compound: HfTi2Cu2
Source: Alexandria
Functional: PBE
Structure: optimized geometry

The structure in POSCAR format:
```
HfTi2Cu2
1.0
7.6860 0.0000 0.0000
0.0000 7.6860 0.0000
0.0000 0.0000 2.7131
Hf Ti Cu
2 4 4
Direct
0.0000 0.0000 0.0000
0.5000 0.5000 0.0000
0.1293 0.3707 0.0000
0.3707 0.8707 0.0000
0.6293 0.1293 0.0000
0.8707 0.6293 0.0000
0.1700 0.6700 0.5000
0.3300 0.1700 0.5000
0.6700 0.8300 0.5000
0.8300 0.3300 0.5000
```

Calculated values
Energy above the most stable polymorph in this dataset ... 96.4 meV/atom
Space group ... No. 127

***

# 12
Compound: Hf2TiCu6
Source: Alexandria
Functional: PBE
Structure: optimized geometry

The structure in POSCAR format:
```
Hf2TiCu6
1.0
5.2018 0.0000 0.0000
-2.6009 4.5049 0.0000
0.0000 0.0000 5.7805
Hf Ti Cu
2 1 6
Direct
0.3333 0.6667 0.3875
0.6667 0.3333 0.6125
0.0000 0.0000 0.5000
0.1749 0.3499 0.8362
0.1749 0.8251 0.8362
0.3499 0.1749 0.1638
0.6501 0.8251 0.8362
0.8251 0.1749 0.1638
0.8251 0.6501 0.1638
```

Calculated values
Space group ... No. 164

***

# 13
Compound: HfTi2Cu
Source: Alexandria
Functional: PBE
Structure: optimized geometry

The structure in POSCAR format:
```
HfTi2Cu
1.0
3.0632 0.0000 0.0000
0.0000 4.6200 0.0000
0.0000 0.0000 9.7229
Hf Ti Cu
2 4 2
Direct
0.0000 0.0000 0.0000
0.5000 0.5000 0.5000
0.0000 0.5000 0.2261
0.0000 0.5000 0.7739
0.5000 0.0000 0.2739
0.5000 0.0000 0.7261
0.0000 0.0000 0.5000
0.5000 0.5000 0.0000
```

Calculated values
Energy above the most stable polymorph in this dataset ... 18.7 meV/atom
Space group ... No. 71

***

# 14
Compound: Hf2TiCu
Source: Alexandria
Functional: PBE
Structure: optimized geometry

The structure in POSCAR format:
```
Hf2TiCu
1.0
4.0305 0.0000 0.0000
0.0000 4.0305 0.0000
0.0000 0.0000 19.3092
Hf Ti Cu
8 4 4
Direct
0.2478 0.2500 0.1250
0.2500 0.7478 0.3750
0.2500 0.7522 0.8750
0.2522 0.2500 0.6250
0.7478 0.7500 0.6250
0.7500 0.2478 0.8750
0.7500 0.2522 0.3750
0.7522 0.7500 0.1250
0.0000 0.0000 0.5000
0.0000 0.5000 0.7500
0.5000 0.0000 0.2500
0.5000 0.5000 0.0000
0.0000 0.0000 0.0000
0.0000 0.5000 0.2500
0.5000 0.0000 0.7500
0.5000 0.5000 0.5000
```

Calculated values
Space group ... No. 122

***

# 15
Compound: HfTi2Cu2
Source: Alexandria
Functional: PBE
Structure: optimized geometry

The structure in POSCAR format:
```
HfTi2Cu2
1.0
3.8069 0.0000 0.0000
0.0000 3.8069 0.0000
0.0000 0.0000 11.4966
Hf Ti Cu
2 4 4
Direct
0.0000 0.0000 0.0000
0.5000 0.5000 0.5000
0.0000 0.5000 0.2500
0.0000 0.5000 0.7500
0.5000 0.0000 0.2500
0.5000 0.0000 0.7500
0.0000 0.0000 0.4009
0.0000 0.0000 0.5991
0.5000 0.5000 0.0991
0.5000 0.5000 0.9009
```

Calculated values
Energy above the most stable polymorph in this dataset ... 119.8 meV/atom
Space group ... No. 139

***

# 16
Compound: HfTi2Cu6
Source: Alexandria
Functional: PBE
Structure: optimized geometry

The structure in POSCAR format:
```
HfTi2Cu6
1.0
2.2984 -7.0122 0.0000
2.2984 7.0122 0.0000
-2.2213 0.0000 4.0041
Hf Ti Cu
1 2 6
Direct
0.0000 0.0000 0.0000
0.1658 0.8342 0.5000
0.8342 0.1658 0.5000
0.1693 0.5067 0.1644
0.3427 0.3427 0.6715
0.4933 0.8307 0.8356
0.5067 0.1693 0.1644
0.6573 0.6573 0.3285
0.8307 0.4933 0.8356
```

Calculated values
Space group ... No. 12

***

# 17
Compound: HfTi2Cu
Source: Alexandria
Functional: PBE
Structure: optimized geometry

The structure in POSCAR format:
```
HfTi2Cu
1.0
3.0200 0.0000 0.0000
-1.5100 2.6154 0.0000
0.0000 0.0000 26.9685
Hf Ti Cu
3 6 3
Direct
0.0000 0.0000 0.0000
0.3333 0.6667 0.6667
0.6667 0.3333 0.3333
0.0000 0.0000 0.2431
0.0000 0.0000 0.4232
0.3333 0.6667 0.0899
0.3333 0.6667 0.9098
0.6667 0.3333 0.5765
0.6667 0.3333 0.7565
0.0000 0.0000 0.8331
0.3333 0.6667 0.4998
0.6667 0.3333 0.1665
```

Calculated values
Energy above the most stable polymorph in this dataset ... 169.4 meV/atom
Space group ... No. 160

***

# 18
Compound: HfTi2Cu
Source: Alexandria
Functional: PBE
Structure: optimized geometry

The structure in POSCAR format:
```
HfTi2Cu
1.0
3.0314 0.0000 0.0000
0.0000 3.0314 0.0000
0.0000 0.0000 7.4808
Hf Ti Cu
1 2 1
Direct
0.0000 0.0000 0.0000
0.5000 0.5000 0.2788
0.5000 0.5000 0.7212
0.0000 0.0000 0.5000
```

Calculated values
Energy above the most stable polymorph in this dataset ... 0.0 meV/atom
Space group ... No. 123

***

# 19
Compound: HfTi2Cu
Source: Alexandria
Functional: PBE
Structure: optimized geometry

The structure in POSCAR format:
```
HfTi2Cu
1.0
4.0278 0.0000 0.0000
0.0000 4.0278 0.0000
0.0000 0.0000 4.1889
Hf Ti Cu
1 2 1
Direct
0.0000 0.0000 0.0000
0.0000 0.5000 0.5000
0.5000 0.0000 0.5000
0.5000 0.5000 0.0000
```

Calculated values
Energy above the most stable polymorph in this dataset ... 75.8 meV/atom
Space group ... No. 123

***

# 20
Compound: Hf2TiCu
Source: Alexandria
Functional: PBE
Structure: optimized geometry

The structure in POSCAR format:
```
Hf2TiCu
1.0
3.1251 0.0000 0.0000
-1.5625 2.7064 0.0000
0.0000 0.0000 27.0823
Hf Ti Cu
6 3 3
Direct
0.0000 0.0000 0.0000
0.0000 0.0000 0.1744
0.3333 0.6667 0.6667
0.3333 0.6667 0.8411
0.6667 0.3333 0.3333
0.6667 0.3333 0.5077
0.0000 0.0000 0.4200
0.3333 0.6667 0.0867
0.6667 0.3333 0.7534
0.0000 0.0000 0.5873
0.3333 0.6667 0.2540
0.6667 0.3333 0.9207
```

Calculated values
Space group ... No. 160

***

| no. | ΔE_f (eV per formula unit) | total magnetic moment (μB per cell) |
| --- | --- | --- |
| 1 | 0.7 | 0.00 |
| 2 | -0.3 | 1.29 |
| 3 | -0.3 | 2.68 |
| 4 | -0.2 | 2.67 |
| 5 | 0.2 | 0.00 |
| 6 | 1.1 | 0.00 |
| 7 | 0.0 | 0.00 |
| 8 | 1.3 | 2.00 |
| 9 | 1.2 | 0.00 |
| 10 | -0.1 | 0.56 |
| 11 | 0.4 | 0.00 |
| 12 | -0.1 | 0.00 |
| 13 | 0.0 | 0.00 |
| 14 | 2.1 | 0.01 |
| 15 | 0.6 | 1.59 |
| 16 | -0.3 | 0.01 |
| 17 | 0.6 | 0.00 |
| 18 | -0.1 | 0.00 |
| 19 | 0.2 | 0.00 |
| 20 | 0.3 | 0.00 |